VASP calculation (GGA-PBE) on a relaxed LiY2Hg2 crystal.

POSCAR file:
```
LiY2Hg2
1.0
8.6166 0.0000 0.0000
0.0000 8.6166 0.0000
0.0000 0.0000 3.6279
Y Hg Li
4 4 2
Direct
0.3516 0.8516 0.0000 Y
0.8516 0.6484 0.0000 Y
0.6484 0.1484 0.0000 Y
0.1484 0.3516 0.0000 Y
0.1495 0.6495 0.5000 Hg
0.6495 0.8505 0.5000 Hg
0.8505 0.3505 0.5000 Hg
0.3505 0.1495 0.5000 Hg
0.0000 0.0000 0.0000 Li
0.5000 0.5000 0.0000 Li
```

## Properties
- E: -3.31 eV/atom
- Symmetry: P4/mbm
- Magnetic moment: 0.000 μB per cell
- D(E_F): 0.62 states/eV per atom